# AcPm2Nd | Alexandria | PBE-GGA | relaxed
# DOS(E_F) in states/eV/f.u.: 6.736
# Formation energy from the elements in kJ/mol of formula units: 10
# Final energy in eV/cell: -18.3
# Calculated density in g/cm3: 7.4
# Size of the total moment in μB per cell: 0.000
# Polymorph energy (0 for the lowest one) in meV/atom: 0
data_AcPm2Nd
_chemical_formula_sum 'Ac1 Pm2 Nd1'
_space_group_name_H-M_alt 'P 4/m m m'
_space_group_IT_number 123
_space_group_name_Hall '-P 4 2'
_cell_length_a 5.291
_cell_length_b 5.291
_cell_length_c 5.271
_cell_angle_alpha 90.00
_cell_angle_beta 90.00
_cell_angle_gamma 90.00
loop_
_atom_site_label
_atom_site_type_symbol
_atom_site_fract_x
_atom_site_fract_y
_atom_site_fract_z
Ac1 Ac 0.000 0.000 0.000
Pm1 Pm 0.000 0.500 0.500
Nd1 Nd 0.500 0.500 0.000